No. 1
Material: Ba3Tl2Sb4
Method: DFT, GGA-PBE
State: relaxed

Magnetization (Bohr magnetons per cell): 0.0
Fermi-level density of states (states/eV/cell): 3.72
ρ (g/cm3): 6.4
Uncorrected formation energy (eV per atom): -0.642

The structure in CIF format:
```
data_Ba3Tl2Sb4
_chemical_formula_sum 'Ba6 Tl4 Sb8'
_cell_length_a 13.4364
_cell_length_b 5.1281
_cell_length_c 10.7241
_cell_angle_alpha 90.00
_cell_angle_beta 113.84
_cell_angle_gamma 90.00
_symmetry_space_group_name_H-M 'C 1 2/m 1'
_symmetry_Int_Tables_number 12
_symmetry_space_group_name_Hall '-C 2y'
loop_
_atom_site_label
_atom_site_type_symbol
_atom_site_fract_x
_atom_site_fract_y
_atom_site_fract_z
Ba1 Ba 0.0000 0.0000 0.0000
Ba2 Ba 0.1311 0.5000 0.6923
Tl1 Tl 0.1732 0.5000 0.3310
Sb1 Sb 0.0778 0.0000 0.4177
Sb2 Sb 0.2215 0.5000 0.0518
```

No. 2
Material: BaTl2Sb2
Method: DFT, GGA-PBE
State: relaxed

Magnetization (Bohr magnetons per cell): 0.0
Fermi-level density of states (states/eV/cell): 11.75
ρ (g/cm3): 7.4
Uncorrected formation energy (eV per atom): -0.371

The structure in CIF format:
```
data_BaTl2Sb2
_chemical_formula_sum 'Ba4 Tl8 Sb8'
_cell_length_a 4.6443
_cell_length_b 33.3977
_cell_length_c 4.5823
_cell_angle_alpha 90.00
_cell_angle_beta 90.00
_cell_angle_gamma 90.00
_symmetry_space_group_name_H-M 'C m c m'
_symmetry_Int_Tables_number 63
_symmetry_space_group_name_Hall '-C 2c 2'
loop_
_atom_site_label
_atom_site_type_symbol
_atom_site_fract_x
_atom_site_fract_y
_atom_site_fract_z
Ba1 Ba 0.0000 0.1615 0.2500
Tl1 Tl 0.0000 0.0492 0.7500
Tl2 Tl 0.0000 0.4500 0.7500
Sb1 Sb 0.0000 0.2513 0.7500
Sb2 Sb 0.0000 0.3819 0.2500
```

No. 3
Material: Ba2Tl2Sb
Method: DFT, GGA-PBE
State: relaxed

Magnetization (Bohr magnetons per cell): 0.0
Fermi-level density of states (states/eV/cell): 11.00
ρ (g/cm3): 7.0
Uncorrected formation energy (eV per atom): -0.464

The structure in CIF format:
```
data_Ba2Tl2Sb
_chemical_formula_sum 'Ba4 Tl4 Sb2'
_cell_length_a 8.4582
_cell_length_b 8.4582
_cell_length_c 5.3170
_cell_angle_alpha 90.00
_cell_angle_beta 90.00
_cell_angle_gamma 90.00
_symmetry_space_group_name_H-M 'P 4/m b m'
_symmetry_Int_Tables_number 127
_symmetry_space_group_name_Hall '-P 4 2ab'
loop_
_atom_site_label
_atom_site_type_symbol
_atom_site_fract_x
_atom_site_fract_y
_atom_site_fract_z
Ba1 Ba 0.1754 0.3246 0.0000
Tl1 Tl 0.1300 0.6300 0.5000
Sb1 Sb 0.0000 0.0000 0.5000
```

No. 4
Material: Ba2Tl2Sb
Method: DFT, GGA-PBE
State: relaxed

Magnetization (Bohr magnetons per cell): 0.0
Fermi-level density of states (states/eV/cell): 9.32
ρ (g/cm3): 6.3
Uncorrected formation energy (eV per atom): -0.261

The structure in CIF format:
```
data_Ba2Tl2Sb
_chemical_formula_sum 'Ba4 Tl4 Sb2'
_cell_length_a 6.8779
_cell_length_b 6.8779
_cell_length_c 8.9263
_cell_angle_alpha 90.00
_cell_angle_beta 90.00
_cell_angle_gamma 90.00
_symmetry_space_group_name_H-M 'I 4/m m m'
_symmetry_Int_Tables_number 139
_symmetry_space_group_name_Hall '-I 4 2'
loop_
_atom_site_label
_atom_site_type_symbol
_atom_site_fract_x
_atom_site_fract_y
_atom_site_fract_z
Ba1 Ba 0.0000 0.5000 0.2500
Tl1 Tl 0.0000 0.0000 0.1583
Sb1 Sb 0.0000 0.0000 0.5000
```

No. 5
Material: BaTl2Sb2
Method: DFT, GGA-PBE
State: relaxed

Magnetization (Bohr magnetons per cell): 0.0
Fermi-level density of states (states/eV/cell): 4.90
ρ (g/cm3): 7.5
Uncorrected formation energy (eV per atom): -0.284

The structure in CIF format:
```
data_BaTl2Sb2
_chemical_formula_sum 'Ba2 Tl4 Sb4'
_cell_length_a 5.7630
_cell_length_b 5.7630
_cell_length_c 10.5368
_cell_angle_alpha 90.00
_cell_angle_beta 90.00
_cell_angle_gamma 90.00
_symmetry_space_group_name_H-M 'I 4/m m m'
_symmetry_Int_Tables_number 139
_symmetry_space_group_name_Hall '-I 4 2'
loop_
_atom_site_label
_atom_site_type_symbol
_atom_site_fract_x
_atom_site_fract_y
_atom_site_fract_z
Ba1 Ba 0.0000 0.0000 0.0000
Tl1 Tl 0.0000 0.0000 0.3584
Sb1 Sb 0.0000 0.5000 0.2500
```

No. 6
Material: BaTl2Sb2
Method: DFT, GGA-PBE
State: relaxed

Magnetization (Bohr magnetons per cell): 0.0
Fermi-level density of states (states/eV/cell): 3.93
ρ (g/cm3): 7.2
Uncorrected formation energy (eV per atom): -0.418

The structure in CIF format:
```
data_BaTl2Sb2
_chemical_formula_sum 'Ba2 Tl4 Sb4'
_cell_length_a 4.9583
_cell_length_b 4.9583
_cell_length_c 14.7652
_cell_angle_alpha 90.00
_cell_angle_beta 90.00
_cell_angle_gamma 90.00
_symmetry_space_group_name_H-M 'I 4/m m m'
_symmetry_Int_Tables_number 139
_symmetry_space_group_name_Hall '-I 4 2'
loop_
_atom_site_label
_atom_site_type_symbol
_atom_site_fract_x
_atom_site_fract_y
_atom_site_fract_z
Ba1 Ba 0.0000 0.0000 0.0000
Tl1 Tl 0.0000 0.5000 0.2500
Sb1 Sb 0.0000 0.0000 0.4013
```

No. 7
Material: Ba2TlSb
Method: DFT, GGA-PBE
State: relaxed

Magnetization (Bohr magnetons per cell): 0.0
Fermi-level density of states (states/eV/cell): 17.20
ρ (g/cm3): 6.4
Uncorrected formation energy (eV per atom): -0.620

The structure in CIF format:
```
data_Ba2TlSb
_chemical_formula_sum 'Ba8 Tl4 Sb4'
_cell_length_a 8.5327
_cell_length_b 8.5327
_cell_length_c 8.5327
_cell_angle_alpha 90.00
_cell_angle_beta 90.00
_cell_angle_gamma 90.00
_symmetry_space_group_name_H-M 'F m -3 m'
_symmetry_Int_Tables_number 225
_symmetry_space_group_name_Hall '-F 4 2 3'
loop_
_atom_site_label
_atom_site_type_symbol
_atom_site_fract_x
_atom_site_fract_y
_atom_site_fract_z
Ba1 Ba 0.2500 0.2500 0.2500
Tl1 Tl 0.0000 0.0000 0.0000
Sb1 Sb 0.0000 0.0000 0.5000
```

No. 8
Material: BaTl3Sb
Method: DFT, GGA-PBE
State: relaxed

Magnetization (Bohr magnetons per cell): 0.0
Fermi-level density of states (states/eV/cell): 3.65
ρ (g/cm3): 7.0
Uncorrected formation energy (eV per atom): 0.082

The structure in CIF format:
```
data_BaTl3Sb
_chemical_formula_sum 'Ba1 Tl3 Sb1'
_cell_length_a 5.9177
_cell_length_b 5.9177
_cell_length_c 5.9177
_cell_angle_alpha 90.00
_cell_angle_beta 90.00
_cell_angle_gamma 90.00
_symmetry_space_group_name_H-M 'P m -3 m'
_symmetry_Int_Tables_number 221
_symmetry_space_group_name_Hall '-P 4 2 3'
loop_
_atom_site_label
_atom_site_type_symbol
_atom_site_fract_x
_atom_site_fract_y
_atom_site_fract_z
Ba1 Ba 0.0000 0.0000 0.0000
Tl1 Tl 0.0000 0.5000 0.5000
Sb1 Sb 0.5000 0.5000 0.5000
```

No. 9
Material: BaTl4Sb
Method: DFT, GGA-PBE
State: relaxed

Magnetization (Bohr magnetons per cell): 0.0
Fermi-level density of states (states/eV/cell): 20.61
ρ (g/cm3): 8.9
Uncorrected formation energy (eV per atom): -0.127

The structure in CIF format:
```
data_BaTl4Sb
_chemical_formula_sum 'Ba4 Tl16 Sb4'
_cell_length_a 9.3109
_cell_length_b 9.3109
_cell_length_c 9.3109
_cell_angle_alpha 90.00
_cell_angle_beta 90.00
_cell_angle_gamma 90.00
_symmetry_space_group_name_H-M 'F -4 3 m'
_symmetry_Int_Tables_number 216
_symmetry_space_group_name_Hall 'F -4 2 3'
loop_
_atom_site_label
_atom_site_type_symbol
_atom_site_fract_x
_atom_site_fract_y
_atom_site_fract_z
Ba1 Ba 0.0000 0.0000 0.0000
Tl1 Tl 0.1242 0.1242 0.3758
Sb1 Sb 0.2500 0.2500 0.7500
```

No. 10
Material: Ba2TlSb
Method: DFT, GGA-PBE
State: relaxed

Magnetization (Bohr magnetons per cell): 0.0
Fermi-level density of states (states/eV/cell): 2.21
ρ (g/cm3): 6.5
Uncorrected formation energy (eV per atom): -0.682

The structure in CIF format:
```
data_Ba2TlSb
_chemical_formula_sum 'Ba2 Tl1 Sb1'
_cell_length_a 4.7241
_cell_length_b 5.7061
_cell_length_c 5.7054
_cell_angle_alpha 90.00
_cell_angle_beta 90.00
_cell_angle_gamma 90.00
_symmetry_space_group_name_H-M 'P m m 2'
_symmetry_Int_Tables_number 25
_symmetry_space_group_name_Hall 'P 2 -2'
loop_
_atom_site_label
_atom_site_type_symbol
_atom_site_fract_x
_atom_site_fract_y
_atom_site_fract_z
Ba1 Ba 0.0000 0.0000 0.0000
Ba2 Ba 0.0000 0.5000 0.4983
Tl1 Tl 0.5000 0.0000 0.5010
Sb1 Sb 0.5000 0.5000 0.9979
```

No. 11
Material: BaTlSb
Method: DFT, GGA-PBE
State: relaxed

Magnetization (Bohr magnetons per cell): 0.0
Fermi-level density of states (states/eV/cell): 5.83
ρ (g/cm3): 6.8
Uncorrected formation energy (eV per atom): -0.594

The structure in CIF format:
```
data_BaTlSb
_chemical_formula_sum 'Ba4 Tl4 Sb4'
_cell_length_a 4.8479
_cell_length_b 9.5982
_cell_length_c 9.7691
_cell_angle_alpha 90.00
_cell_angle_beta 90.00
_cell_angle_gamma 90.00
_symmetry_space_group_name_H-M 'I m m 2'
_symmetry_Int_Tables_number 44
_symmetry_space_group_name_Hall 'I 2 -2'
loop_
_atom_site_label
_atom_site_type_symbol
_atom_site_fract_x
_atom_site_fract_y
_atom_site_fract_z
Ba1 Ba 0.0000 0.0000 0.0000
Ba2 Ba 0.0000 0.5000 0.0663
Tl1 Tl 0.0000 0.1735 0.3530
Sb1 Sb 0.0000 0.2543 0.6729
```

No. 12
Material: Ba2TlSb
Method: DFT, GGA-PBE
State: relaxed

Magnetization (Bohr magnetons per cell): 1.6
Fermi-level density of states (states/eV/cell): 9.83
ρ (g/cm3): 5.2
Uncorrected formation energy (eV per atom): -0.548

The structure in CIF format:
```
data_Ba2TlSb
_chemical_formula_sum 'Ba6 Tl3 Sb3'
_cell_length_a 4.9916
_cell_length_b 4.9916
_cell_length_c 26.6563
_cell_angle_alpha 90.00
_cell_angle_beta 90.00
_cell_angle_gamma 120.00
_symmetry_space_group_name_H-M 'R -3 m'
_symmetry_Int_Tables_number 166
_symmetry_space_group_name_Hall '-R 3 2"'
loop_
_atom_site_label
_atom_site_type_symbol
_atom_site_fract_x
_atom_site_fract_y
_atom_site_fract_z
Ba1 Ba 0.0000 0.0000 0.2367
Tl1 Tl 0.0000 0.0000 0.0000
Sb1 Sb 0.0000 0.0000 0.5000
```

No. 13
Material: Ba2Tl2Sb
Method: DFT, GGA-PBE
State: relaxed

Magnetization (Bohr magnetons per cell): 0.0
Fermi-level density of states (states/eV/cell): 9.98
ρ (g/cm3): 6.5
Uncorrected formation energy (eV per atom): -0.223

The structure in CIF format:
```
data_Ba2Tl2Sb
_chemical_formula_sum 'Ba4 Tl4 Sb2'
_cell_length_a 9.8169
_cell_length_b 9.8169
_cell_length_c 4.2932
_cell_angle_alpha 90.00
_cell_angle_beta 90.00
_cell_angle_gamma 90.00
_symmetry_space_group_name_H-M 'P 4/m b m'
_symmetry_Int_Tables_number 127
_symmetry_space_group_name_Hall '-P 4 2ab'
loop_
_atom_site_label
_atom_site_type_symbol
_atom_site_fract_x
_atom_site_fract_y
_atom_site_fract_z
Ba1 Ba 0.1892 0.3108 0.0000
Tl1 Tl 0.1131 0.6131 0.5000
Sb1 Sb 0.0000 0.0000 0.0000
```